This record from the Alexandria database describes crystalline K3OsPb3O8 at its relaxed geometry. The functional is PBE. Values from VASP.

Summary:
space-group type: C2/m, No. 12
ΔE_f (raw): -1.236 eV/atom
total DFT energy (no corrections): -5.590 eV/atom

```
&SYSTEM
  ibrav = 0, nat = 15, ntyp = 4
/
ATOMIC_SPECIES
K 39.10 K.upf
Os 190.23 Os.upf
Pb 207.20 Pb.upf
O 16.00 O.upf
CELL_PARAMETERS angstrom
6.170 -3.573 0.000
6.170 3.573 0.000
-4.103 0.000 6.258
ATOMIC_POSITIONS crystal
K 0.000 0.000 0.000
K 0.000 0.500 0.000
K 0.500 0.000 0.000
Os 0.000 0.000 0.500
Pb 0.000 0.500 0.500
Pb 0.500 0.000 0.500
Pb 0.500 0.500 0.500
O 0.190 0.190 0.673
O 0.190 0.793 0.673
O 0.207 0.810 0.327
O 0.262 0.262 0.289
O 0.738 0.738 0.711
O 0.793 0.190 0.673
O 0.810 0.207 0.327
O 0.810 0.810 0.327
```